Entry from the Alexandria database: an optimized crystal structure of TlHgPb (PBE-GGA).

Unit cell a=3.6538 b=4.5475 c=10.4949 alpha=90.00 beta=90.00 gamma=90.00
Last column: nearest neighbours and their distance in Å.
Fractional coordinates of all 6 atoms:
1 Tl 0.0000 0.0000 0.0000  5 Hg 3.37-3.55, 5 Pb 3.40-3.45, 2 Tl 3.65
2 Tl 0.5000 0.5000 0.5000  5 Hg 3.37-3.55, 5 Pb 3.40-3.45, 2 Tl 3.65
3 Hg 0.0000 0.0000 0.6618  5 Tl 3.37-3.55, 5 Pb 3.38-3.54, 2 Hg 3.65
4 Hg 0.5000 0.5000 0.1618  5 Tl 3.37-3.55, 5 Pb 3.38-3.54, 2 Hg 3.65
5 Pb 0.0000 0.0000 0.3244  5 Hg 3.38-3.54, 5 Tl 3.40-3.45, 2 Pb 3.65
6 Pb 0.5000 0.5000 0.8244  5 Hg 3.38-3.54, 5 Tl 3.40-3.45, 2 Pb 3.65

Computed properties:
energy relative to the elements: 0.03 eV/atom
polymorph energy (0 for the lowest one): 40 meV/atom
magnetic moment: 0.000 μB/atom

Entry from the Alexandria database: an optimized crystal structure of TlHg6Pb3 (PBE-GGA).

Unit cell a=11.8069 b=3.5412 c=14.0999 alpha=90.00 beta=98.05 gamma=90.00
Last column: nearest neighbours and their distance in Å.
Fractional coordinates of all 20 atoms:
1 Tl 0.2169 0.2500 0.1998  7 Hg 3.14-3.45
2 Tl 0.7831 0.7500 0.8002  7 Hg 3.14-3.45
3 Hg 0.0357 0.2500 0.8197  7 Hg 3.23-3.54, 2 Tl 3.45, 2 Pb 3.51
4 Hg 0.1303 0.7500 0.0053  7 Hg 3.23-3.54, 2 Tl 3.30, 2 Pb 3.47
5 Hg 0.2346 0.7500 0.4026  3 Pb 3.09-3.32, 2 Hg 3.21, 2 Tl 3.34
6 Hg 0.2434 0.2500 0.5933  3 Pb 3.07-3.36, 4 Hg 3.18-3.21
7 Hg 0.2537 0.7500 0.7815  5 Hg 3.09-3.23, 2 Pb 3.42
8 Hg 0.4820 0.2500 0.1955  1 Hg 3.09, 1 Tl 3.14, 3 Pb 3.16-3.31
9 Hg 0.5180 0.7500 0.8045  1 Hg 3.09, 1 Tl 3.14, 3 Pb 3.16-3.31
10 Hg 0.7463 0.2500 0.2185  5 Hg 3.09-3.23, 2 Pb 3.42
11 Hg 0.7566 0.7500 0.4067  3 Pb 3.07-3.36, 4 Hg 3.18-3.21
12 Hg 0.7654 0.2500 0.5974  3 Pb 3.09-3.32, 2 Hg 3.21, 2 Tl 3.34
13 Hg 0.8697 0.2500 0.9947  7 Hg 3.23-3.54, 2 Tl 3.30, 2 Pb 3.47
14 Hg 0.9643 0.7500 0.1803  7 Hg 3.23-3.54, 2 Tl 3.45, 2 Pb 3.51
15 Pb 0.0038 0.7500 0.6029  7 Hg 3.32-3.60, 4 Pb 3.39-3.54
16 Pb 0.3757 0.2500 0.9771  5 Hg 3.16-3.47, 2 Pb 3.41
17 Pb 0.4948 0.7500 0.3952  4 Hg 3.07-3.31, 2 Pb 3.43
18 Pb 0.5052 0.2500 0.6048  4 Hg 3.07-3.31, 2 Pb 3.43
19 Pb 0.6243 0.7500 0.0229  5 Hg 3.16-3.47, 2 Pb 3.41
20 Pb 0.9962 0.2500 0.3971  7 Hg 3.32-3.60, 4 Pb 3.39-3.54

Computed properties:
energy relative to the elements: 0.02 eV/atom
magnetic moment: 0.000 μB/atom

Entry from the Alexandria database: an optimized crystal structure of Tl5Hg2Pb (PBE-GGA).

Unit cell a=9.0130 b=9.0130 c=9.0130 alpha=123.41 beta=123.41 gamma=84.19
Last column: nearest neighbours and their distance in Å.
Fractional coordinates of all 16 atoms:
1 Tl 0.0000 0.0000 0.0000  4 Hg 3.27, 2 Pb 3.34
2 Tl 0.0056 0.5056 0.1968  3 Hg 3.22-3.30, 3 Tl 3.44-3.59, 2 Pb 3.48
3 Tl 0.1912 0.9944 0.5000  3 Hg 3.22-3.30, 3 Tl 3.44-3.59, 2 Pb 3.48
4 Tl 0.3088 0.8088 0.8032  3 Hg 3.22-3.30, 3 Tl 3.44-3.59, 2 Pb 3.48
5 Tl 0.4944 0.6912 0.5000  3 Hg 3.22-3.30, 3 Tl 3.44-3.59, 2 Pb 3.48
6 Tl 0.5000 0.5000 0.0000  4 Hg 3.27, 2 Pb 3.34
7 Tl 0.5056 0.3088 0.5000  3 Hg 3.22-3.30, 3 Tl 3.44-3.59, 2 Pb 3.48
8 Tl 0.6912 0.1912 0.1968  3 Hg 3.22-3.30, 3 Tl 3.44-3.59, 2 Pb 3.48
9 Tl 0.8088 0.0056 0.5000  3 Hg 3.22-3.30, 3 Tl 3.44-3.59, 2 Pb 3.48
10 Tl 0.9944 0.4944 0.8032  3 Hg 3.22-3.30, 3 Tl 3.44-3.59, 2 Pb 3.48
11 Hg 0.1461 0.3539 0.5000  8 Tl 3.22-3.30, 1 Hg 3.53
12 Hg 0.3539 0.8539 0.2079  8 Tl 3.22-3.30, 1 Hg 3.53
13 Hg 0.6461 0.1461 0.7921  8 Tl 3.22-3.30, 1 Hg 3.53
14 Hg 0.8539 0.6461 0.5000  8 Tl 3.22-3.30, 1 Hg 3.53
15 Pb 0.2500 0.2500 0.0000  10 Tl 3.34-3.48
16 Pb 0.7500 0.7500 0.0000  10 Tl 3.34-3.48

Computed properties:
energy relative to the elements: 0.00 eV/atom
polymorph energy (0 for the lowest one): 0 meV/atom
magnetic moment: 0.000 μB/atom

Entry from the Alexandria database: an optimized crystal structure of Tl5Hg4Pb2 (PBE-GGA).

Unit cell a=12.4956 b=12.4956 c=8.2846 alpha=90.30 beta=90.30 gamma=15.59
Last column: nearest neighbours and their distance in Å.
Fractional coordinates of all 11 atoms:
1 Tl 0.0000 0.0000 0.0000  6 Hg 3.19-3.20, 2 Tl 3.39
2 Tl 0.3193 0.3193 0.9753  2 Hg 3.35, 3 Pb 3.35-3.58, 3 Tl 3.39-3.48
3 Tl 0.3679 0.3679 0.5817  3 Hg 3.18-3.42, 3 Tl 3.39-3.48, 1 Pb 3.53
4 Tl 0.6321 0.6321 0.4183  3 Hg 3.18-3.42, 3 Tl 3.39-3.48, 1 Pb 3.53
5 Tl 0.6807 0.6807 0.0247  2 Hg 3.35, 3 Pb 3.35-3.58, 3 Tl 3.39-3.48
6 Hg 0.1023 0.1023 0.7654  5 Tl 3.20-3.42, 1 Pb 3.23, 4 Hg 3.28-3.39
7 Hg 0.4928 0.4928 0.6737  1 Hg 2.90, 3 Tl 3.18-3.19
8 Hg 0.5072 0.5072 0.3263  1 Hg 2.90, 3 Tl 3.18-3.19
9 Hg 0.8977 0.8977 0.2346  5 Tl 3.20-3.42, 1 Pb 3.23, 4 Hg 3.28-3.39
10 Pb 0.2289 0.2289 0.6730  1 Hg 3.23, 6 Tl 3.35-3.61, 4 Pb 3.39-3.49
11 Pb 0.7711 0.7711 0.3270  1 Hg 3.23, 6 Tl 3.35-3.61, 4 Pb 3.39-3.49

Computed properties:
energy relative to the elements: 0.05 eV/atom
polymorph energy (0 for the lowest one): 5 meV/atom
magnetic moment: 0.000 μB/atom

Entry from the Alexandria database: an optimized crystal structure of TlHg2Pb6 (PBE-GGA).

Unit cell a=3.4279 b=3.4279 c=27.3246 alpha=90.00 beta=90.00 gamma=120.00
Last column: nearest neighbours and their distance in Å.
Fractional coordinates of all 9 atoms:
1 Tl 0.0000 0.0000 0.0000  6 Tl 3.43, 6 Pb 3.66
2 Hg 0.3333 0.6667 0.3309  6 Hg 3.43, 6 Pb 3.52-3.53
3 Hg 0.3333 0.6667 0.6691  6 Hg 3.43, 6 Pb 3.52-3.53
4 Pb 0.0000 0.0000 0.2239  9 Pb 3.43-3.63, 3 Hg 3.53
5 Pb 0.0000 0.0000 0.4375  7 Pb 3.42-3.43, 3 Hg 3.52
6 Pb 0.0000 0.0000 0.5625  7 Pb 3.42-3.43, 3 Hg 3.52
7 Pb 0.0000 0.0000 0.7761  9 Pb 3.43-3.63, 3 Hg 3.53
8 Pb 0.3333 0.6667 0.1128  9 Pb 3.43-3.63, 3 Tl 3.66
9 Pb 0.3333 0.6667 0.8872  9 Pb 3.43-3.63, 3 Tl 3.66

Computed properties:
energy relative to the elements: 0.05 eV/atom
polymorph energy (0 for the lowest one): 39 meV/atom
magnetic moment: 0.000 μB/atom

Entry from the Alexandria database: an optimized crystal structure of Tl5Hg2Pb (PBE-GGA).

Unit cell a=7.8454 b=7.8454 c=7.8149 alpha=90.00 beta=90.00 gamma=90.00
Last column: nearest neighbours and their distance in Å.
Fractional coordinates of all 16 atoms:
1 Tl 0.0000 0.0000 0.0000  8 Tl 3.39
2 Tl 0.2500 0.2500 0.2500  4 Hg 3.39, 2 Tl 3.39, 2 Pb 3.39
3 Tl 0.2500 0.2500 0.7500  4 Hg 3.39, 2 Tl 3.39, 2 Pb 3.39
4 Tl 0.2500 0.7500 0.2500  4 Hg 3.39, 2 Tl 3.39, 2 Pb 3.39
5 Tl 0.2500 0.7500 0.7500  4 Hg 3.39, 2 Tl 3.39, 2 Pb 3.39
6 Tl 0.5000 0.5000 0.5000  8 Tl 3.39
7 Tl 0.7500 0.2500 0.2500  4 Hg 3.39, 2 Tl 3.39, 2 Pb 3.39
8 Tl 0.7500 0.2500 0.7500  4 Hg 3.39, 2 Tl 3.39, 2 Pb 3.39
9 Tl 0.7500 0.7500 0.2500  2 Tl 3.39, 2 Pb 3.39, 4 Hg 3.39
10 Tl 0.7500 0.7500 0.7500  2 Tl 3.39, 2 Pb 3.39, 4 Hg 3.39
11 Hg 0.0000 0.5000 0.0000  8 Tl 3.39
12 Hg 0.0000 0.5000 0.5000  8 Tl 3.39
13 Hg 0.5000 0.0000 0.0000  8 Tl 3.39
14 Hg 0.5000 0.0000 0.5000  8 Tl 3.39
15 Pb 0.0000 0.0000 0.5000  8 Tl 3.39
16 Pb 0.5000 0.5000 0.0000  8 Tl 3.39

Computed properties:
energy relative to the elements: 0.01 eV/atom
polymorph energy (0 for the lowest one): 3 meV/atom
magnetic moment: 0.000 μB/atom

Entry from the Alexandria database: an optimized crystal structure of Tl2Hg3Pb8 (PBE-GGA).

Unit cell a=11.1317 b=3.4237 c=11.7265 alpha=90.00 beta=117.62 gamma=90.00
Last column: nearest neighbours and their distance in Å.
Fractional coordinates of all 13 atoms:
1 Tl 0.1548 0.0000 0.1200  3 Tl 3.29-3.42, 7 Pb 3.34-3.61
2 Tl 0.8452 0.0000 0.8800  3 Tl 3.29-3.42, 7 Pb 3.34-3.61
3 Hg 0.0000 0.0000 0.5000  2 Pb 3.10, 2 Hg 3.42
4 Hg 0.3016 0.5000 0.7228  7 Pb 3.29-3.43, 4 Hg 3.42-3.59
5 Hg 0.6984 0.5000 0.2772  7 Pb 3.29-3.43, 4 Hg 3.42-3.59
6 Pb 0.0915 0.0000 0.7929  3 Hg 3.10-3.29, 1 Tl 3.34, 2 Pb 3.42
7 Pb 0.2334 0.5000 0.4172  3 Hg 3.30-3.60, 6 Pb 3.42-3.65, 2 Tl 3.61
8 Pb 0.3777 0.5000 0.0415  7 Pb 3.29-3.63, 2 Hg 3.35-3.43, 2 Tl 3.47
9 Pb 0.4806 0.0000 0.3460  1 Tl 3.36, 2 Hg 3.36, 9 Pb 3.42-3.65
10 Pb 0.5194 0.0000 0.6540  1 Tl 3.36, 2 Hg 3.36, 9 Pb 3.42-3.65
11 Pb 0.6223 0.5000 0.9585  7 Pb 3.29-3.63, 2 Hg 3.35-3.43, 2 Tl 3.47
12 Pb 0.7666 0.5000 0.5828  3 Hg 3.30-3.60, 6 Pb 3.42-3.65, 2 Tl 3.61
13 Pb 0.9085 0.0000 0.2071  3 Hg 3.10-3.29, 1 Tl 3.34, 2 Pb 3.42

Computed properties:
energy relative to the elements: 0.04 eV/atom
polymorph energy (0 for the lowest one): 0 meV/atom
magnetic moment: 0.000 μB/atom

Entry from the Alexandria database: an optimized crystal structure of Tl4Hg2Pb (PBE-GGA).

Unit cell a=8.3974 b=8.3974 c=8.3974 alpha=38.58 beta=38.58 gamma=38.58
Last column: nearest neighbours and their distance in Å.
Fractional coordinates of all 7 atoms:
1 Tl 0.0769 0.0769 0.0769  4 Hg 3.23-3.34, 4 Tl 3.44-3.58
2 Tl 0.3560 0.3560 0.3560  1 Hg 3.27, 1 Pb 3.35, 6 Tl 3.37-3.44
3 Tl 0.6440 0.6440 0.6440  1 Hg 3.27, 1 Pb 3.35, 6 Tl 3.37-3.44
4 Tl 0.9231 0.9231 0.9231  4 Hg 3.23-3.34, 4 Tl 3.44-3.58
5 Hg 0.2155 0.2155 0.2155  5 Tl 3.23-3.34, 3 Pb 3.40
6 Hg 0.7845 0.7845 0.7845  5 Tl 3.23-3.34, 3 Pb 3.40
7 Pb 0.5000 0.5000 0.5000  2 Tl 3.35, 6 Hg 3.40

Computed properties:
energy relative to the elements: 0.01 eV/atom
polymorph energy (0 for the lowest one): 0 meV/atom
magnetic moment: 0.000 μB/atom

Entry from the Alexandria database: an optimized crystal structure of Tl2HgPb9 (PBE-GGA).

Unit cell a=4.9817 b=4.9817 c=14.8806 alpha=90.00 beta=90.00 gamma=90.00
Last column: nearest neighbours and their distance in Å.
Fractional coordinates of all 12 atoms:
1 Tl 0.0000 0.0000 0.1694  12 Pb 3.52-3.54
2 Tl 0.0000 0.0000 0.8306  12 Pb 3.52-3.54
3 Hg 0.0000 0.0000 0.5000  12 Pb 3.46-3.52
4 Pb 0.0000 0.5000 0.0000  8 Pb 3.52-3.53, 4 Tl 3.54
5 Pb 0.0000 0.5000 0.3382  8 Pb 3.46-3.55, 2 Hg 3.46, 2 Tl 3.54
6 Pb 0.0000 0.5000 0.6618  8 Pb 3.46-3.55, 2 Hg 3.46, 2 Tl 3.54
7 Pb 0.5000 0.0000 0.0000  8 Pb 3.52-3.53, 4 Tl 3.54
8 Pb 0.5000 0.0000 0.3382  8 Pb 3.46-3.55, 2 Hg 3.46, 2 Tl 3.54
9 Pb 0.5000 0.0000 0.6618  8 Pb 3.46-3.55, 2 Hg 3.46, 2 Tl 3.54
10 Pb 0.5000 0.5000 0.1685  4 Tl 3.52, 8 Pb 3.53-3.55
11 Pb 0.5000 0.5000 0.5000  8 Pb 3.46, 4 Hg 3.52
12 Pb 0.5000 0.5000 0.8315  4 Tl 3.52, 8 Pb 3.53-3.55

Computed properties:
energy relative to the elements: 0.00 eV/atom
magnetic moment: 0.000 μB/atom

Entry from the Alexandria database: an optimized crystal structure of Tl2Hg8Pb3 (PBE-GGA).

Unit cell a=5.7156 b=6.6936 c=10.0684 alpha=104.64 beta=90.87 gamma=93.41
Last column: nearest neighbours and their distance in Å.
Fractional coordinates of all 13 atoms:
1 Tl 0.2287 0.3329 0.4578  8 Hg 3.19-3.52, 1 Tl 3.52
2 Tl 0.7713 0.6671 0.5422  8 Hg 3.19-3.52, 1 Tl 3.52
3 Hg 0.0665 0.0929 0.1512  4 Hg 3.05-3.37, 1 Tl 3.19, 2 Pb 3.41-3.42
4 Hg 0.1546 0.7303 0.3127  3 Hg 3.13-3.42, 2 Pb 3.22-3.37, 2 Tl 3.30-3.39
5 Hg 0.3083 0.9642 0.6142  5 Hg 3.13-3.42, 1 Pb 3.23, 2 Tl 3.29-3.38
6 Hg 0.3804 0.5969 0.7634  3 Pb 3.16-3.49, 2 Tl 3.21-3.28, 3 Hg 3.23-3.52
7 Hg 0.6196 0.4031 0.2366  3 Pb 3.16-3.49, 2 Tl 3.21-3.28, 3 Hg 3.23-3.52
8 Hg 0.6917 0.0358 0.3858  5 Hg 3.13-3.42, 1 Pb 3.23, 2 Tl 3.29-3.38
9 Hg 0.8454 0.2697 0.6873  3 Hg 3.13-3.42, 2 Pb 3.22-3.37, 2 Tl 3.30-3.39
10 Hg 0.9335 0.9071 0.8488  4 Hg 3.05-3.37, 1 Tl 3.19, 2 Pb 3.41-3.42
11 Pb 0.0000 0.5000 0.0000  6 Hg 3.22-3.48, 4 Pb 3.39-3.51
12 Pb 0.4640 0.2035 0.9268  7 Hg 3.16-3.49, 3 Pb 3.39-3.51
13 Pb 0.5360 0.7965 0.0732  7 Hg 3.16-3.49, 3 Pb 3.39-3.51

Computed properties:
energy relative to the elements: 0.02 eV/atom
polymorph energy (0 for the lowest one): 0 meV/atom
magnetic moment: 0.000 μB/atom

Entry from the Alexandria database: an optimized crystal structure of Tl2Hg2Pb5 (PBE-GGA).

Unit cell a=5.0965 b=7.4887 c=7.8866 alpha=107.06 beta=90.07 gamma=109.74
Last column: nearest neighbours and their distance in Å.
Fractional coordinates of all 9 atoms:
1 Tl 0.1635 0.3285 0.4958  3 Hg 3.43-3.57, 7 Pb 3.43-3.55, 2 Tl 3.49-3.51
2 Tl 0.8365 0.6715 0.5042  3 Hg 3.43-3.57, 7 Pb 3.43-3.55, 2 Tl 3.49-3.51
3 Hg 0.2809 0.5591 0.1719  7 Pb 3.30-3.48, 3 Tl 3.43-3.57, 2 Hg 3.61-3.63
4 Hg 0.7191 0.4409 0.8281  7 Pb 3.30-3.48, 3 Tl 3.43-3.57, 2 Hg 3.61-3.63
5 Pb 0.0633 0.1304 0.8460  3 Hg 3.30-3.40, 2 Tl 3.46-3.51, 7 Pb 3.47-3.64
6 Pb 0.3889 0.7754 0.8337  6 Pb 3.42-3.56, 3 Tl 3.43-3.55, 3 Hg 3.45-3.48
7 Pb 0.5000 0.0000 0.5000  2 Hg 3.37, 4 Tl 3.45, 6 Pb 3.47-3.64
8 Pb 0.6111 0.2246 0.1663  6 Pb 3.42-3.56, 3 Tl 3.43-3.55, 3 Hg 3.45-3.48
9 Pb 0.9367 0.8696 0.1540  3 Hg 3.30-3.40, 2 Tl 3.46-3.51, 7 Pb 3.47-3.64

Computed properties:
energy relative to the elements: 0.00 eV/atom
polymorph energy (0 for the lowest one): 0 meV/atom
magnetic moment: 0.000 μB/atom

Entry from the Alexandria database: an optimized crystal structure of Tl3Hg5Pb2 (PBE-GGA).

Unit cell a=10.0230 b=10.0230 c=5.9975 alpha=92.92 beta=92.92 gamma=101.75
Last column: nearest neighbours and their distance in Å.
Fractional coordinates of all 20 atoms:
1 Tl 0.0506 0.9494 0.7500  6 Hg 3.30-3.51, 2 Tl 3.39, 2 Pb 3.67
2 Tl 0.2296 0.4566 0.1336  6 Hg 3.17-3.38, 1 Pb 3.50
3 Tl 0.4566 0.2296 0.6336  6 Hg 3.17-3.38, 1 Pb 3.50
4 Tl 0.5434 0.7704 0.3664  6 Hg 3.17-3.38, 1 Pb 3.50
5 Tl 0.7704 0.5434 0.8664  6 Hg 3.17-3.38, 1 Pb 3.50
6 Tl 0.9494 0.0506 0.2500  6 Hg 3.30-3.51, 2 Tl 3.39, 2 Pb 3.67
7 Hg 0.0753 0.7124 0.1026  2 Hg 3.06-3.09, 2 Pb 3.15-3.33, 3 Tl 3.26-3.38
8 Hg 0.1560 0.2838 0.5860  1 Hg 3.06, 3 Tl 3.17-3.33, 1 Pb 3.37
9 Hg 0.2838 0.1560 0.0860  1 Hg 3.06, 3 Tl 3.17-3.33, 1 Pb 3.37
10 Hg 0.2876 0.9247 0.3974  2 Hg 3.06-3.09, 2 Pb 3.15-3.33, 3 Tl 3.26-3.38
11 Hg 0.4438 0.5562 0.7500  4 Tl 3.28-3.34, 2 Pb 3.34, 4 Hg 3.47-3.60
12 Hg 0.5562 0.4438 0.2500  4 Tl 3.28-3.34, 2 Pb 3.34, 4 Hg 3.47-3.60
13 Hg 0.7124 0.0753 0.6026  2 Hg 3.06-3.09, 2 Pb 3.15-3.33, 3 Tl 3.26-3.38
14 Hg 0.7162 0.8440 0.9140  1 Hg 3.06, 3 Tl 3.17-3.33, 1 Pb 3.37
15 Hg 0.8440 0.7162 0.4140  1 Hg 3.06, 3 Tl 3.17-3.33, 1 Pb 3.37
16 Hg 0.9247 0.2876 0.8974  2 Hg 3.06-3.09, 2 Pb 3.15-3.33, 3 Tl 3.26-3.38
17 Pb 0.1352 0.6159 0.6156  6 Hg 3.15-3.51, 2 Pb 3.37-3.42, 1 Tl 3.50
18 Pb 0.3841 0.8648 0.8844  6 Hg 3.15-3.51, 2 Pb 3.37-3.42, 1 Tl 3.50
19 Pb 0.6159 0.1352 0.1156  6 Hg 3.15-3.51, 2 Pb 3.37-3.42, 1 Tl 3.50
20 Pb 0.8648 0.3841 0.3844  6 Hg 3.15-3.51, 2 Pb 3.37-3.42, 1 Tl 3.50

Computed properties:
energy relative to the elements: 0.01 eV/atom
magnetic moment: 0.000 μB/atom